1.
A plane-wave DFT calculation with GGA-PBE was carried out for crystalline NaBiOs2O8 at its relaxed geometry.

The density of states at the Fermi level is 0.53 states/eV/atom. As for the calculated total energy: -0.4889 Ry per atom.

The structure belongs to space group I-4 (No. 82); the cell edges are 5.346, 5.346 and 11.767 Å and the angles 90.00°, 90.00° and 90.00°. The inequivalent atoms are Na at (0.000, 0.000, 0.000), Bi at (0.000, 0.500, 0.750), Os at (0.000, 0.000, 0.500), Os at (0.000, 0.500, 0.250), O at (0.153, 0.241, 0.583) and O at (0.159, 0.751, 0.175).

***

2.
A plane-wave DFT calculation with GGA-PBE was carried out for crystalline Na2Bi2OsO6 at its relaxed geometry.

The density of states at the Fermi level is 0.19 states/eV/atom. As for the calculated total energy: -0.4271 Ry per atom.

The structure belongs to space group C2/m (No. 12); the cell edges are 6.075, 10.161 and 5.935 Å and the angles 90.00°, 102.08° and 90.00°. The inequivalent atoms are Na at (0.000, 0.145, 0.000), Bi at (0.000, 0.339, 0.500), Os at (0.000, 0.000, 0.500), O at (0.178, 0.160, 0.680) and O at (0.201, 0.000, 0.278).

***

3.
A plane-wave DFT calculation with GGA-PBE was carried out for crystalline Na2BiOsO8 at its relaxed geometry.

The density of states at the Fermi level is 0.26 states/eV/atom. As for the calculated total energy: -0.4237 Ry per atom.

The structure belongs to space group P-1 (No. 2); the cell edges are 4.843, 5.433 and 6.424 Å and the angles 90.07°, 90.19° and 93.39°. The inequivalent atoms are Na at (0.001, 0.000, 0.276), Bi at (0.500, 0.500, 0.000), Os at (0.500, 0.500, 0.500), O at (0.261, 0.369, 0.273), O at (0.262, 0.369, 0.725), O at (0.312, 0.776, 0.500) and O at (0.378, 0.931, 0.000).

***

Going through the records in order, we get formation energy from raw total energies values of -1.04 -1.14 -0.98 eV/atom.